Material: Tl3Zn2NiF9
Method: DFT, PBE with a Hubbard U
State: optimized geometry

Values from the calculation:
- VASP energy: -4.018 eV per atom
- Space-group type: No. 164

Unit cell a=5.9126 b=5.9126 c=7.2411 alpha=90.00 beta=90.00 gamma=120.00
Fractional coordinates of all 15 atoms:
F 0.8346 0.1654 0.6648
F 0.5000 0.0000 0.0000
F 0.5000 0.5000 0.0000
Tl 0.0000 0.0000 0.0000
F 0.0000 0.5000 0.0000
F 0.8346 0.6692 0.6648
Tl 0.6667 0.3333 0.3334
F 0.3308 0.1654 0.6648
F 0.1654 0.3308 0.3352
Zn 0.3333 0.6667 0.1684
Ni 0.0000 0.0000 0.5000
F 0.6692 0.8346 0.3352
Tl 0.3333 0.6667 0.6666
F 0.1654 0.8346 0.3352
Zn 0.6667 0.3333 0.8316